<i>
VASP calculation (PBE) on crystalline In2GeSb2 at its relaxed geometry.

abc: 4.1579 4.1579 8.7087
angles: 76.19 76.19 90.00
Closest atoms and distances in Å follow each position.
Sites, in units of the cell vectors:
Sb (0.4127, 0.4127, 0.1746)  1 Sb 2.86
Sb (0.5873, 0.5873, 0.8254)  1 Sb 2.86
Ge (0.0000, 0.0000, 0.0000)  8 Sb 3.27
In (0.7500, 0.2500, 0.5000)  4 In 2.94
In (0.2500, 0.7500, 0.5000)  4 In 2.94

Properties
Magnetization, μB per cell: 0.00


<ii>
VASP calculation (PBE) on crystalline In2GeSb2 at its relaxed geometry.

abc: 8.1519 8.1519 4.1071
angles: 90.00 90.00 90.00
Closest atoms and distances in Å follow each position.
Sites, in units of the cell vectors:
Sb (0.3390, 0.8390, 0.0000)  6 In 3.04-3.23, 2 Ge 3.06
Sb (0.8390, 0.6610, 0.0000)  6 In 3.04-3.23, 2 Ge 3.06
Sb (0.6610, 0.1610, 0.0000)  6 In 3.04-3.23, 2 Ge 3.06
Sb (0.1610, 0.3390, 0.0000)  6 In 3.04-3.23, 2 Ge 3.06
Ge (0.0000, 0.0000, 0.0000)  4 Sb 3.06
Ge (0.5000, 0.5000, 0.0000)  4 Sb 3.06
In (0.1450, 0.6450, 0.5000)  6 Sb 3.04-3.23, 1 In 3.34
In (0.6450, 0.8550, 0.5000)  6 Sb 3.04-3.23, 1 In 3.34
In (0.8550, 0.3550, 0.5000)  6 Sb 3.04-3.23, 1 In 3.34
In (0.3550, 0.1450, 0.5000)  6 Sb 3.04-3.23, 1 In 3.34

Properties
Magnetization, μB per cell: 0.00


Energies in kJ/mol of atoms, measured from the most stable structure: <i> 7.1; <ii> 0.0.